Record 1
{
  "formula": "BaMnTc2Se",
  "functional": "PBE",
  "state": "relaxed",
  "lattice_angstrom": [[4.785, 0.000, 0.000], [0.000, 4.785, 0.000], [0.000, 0.000, 4.593]],
  "species": ["Ba", "Mn", "Tc", "Tc", "Se"],
  "frac_coords": [[0.000, 0.000, 0.000], [0.500, 0.500, 0.000], [0.000, 0.500, 0.500], [0.500, 0.000, 0.500], [0.500, 0.500, 0.500]],
  "raw_formation_energy_ev_per_atom": 0.939,
  "sg": "P4/mmm (123)"
}


Record 2
{
  "formula": "La8Ga3CoI4",
  "functional": "PBE",
  "state": "relaxed",
  "lattice_angstrom": [[7.873, -4.293, 0.000], [7.873, 4.293, 0.000], [-5.424, 0.000, 7.878]],
  "species": ["La", "La", "La", "La", "La", "La", "La", "La", "Ga", "Ga", "Ga", "Co", "I", "I", "I", "I"],
  "frac_coords": [[0.211, 0.763, 0.686], [0.237, 0.789, 0.314], [0.239, 0.239, 0.717], [0.261, 0.261, 0.280], [0.739, 0.739, 0.720], [0.761, 0.761, 0.283], [0.763, 0.211, 0.686], [0.789, 0.237, 0.314], [0.000, 0.500, 0.500], [0.500, 0.000, 0.500], [0.500, 0.500, 0.500], [0.000, 0.000, 0.500], [0.000, 0.000, 0.000], [0.000, 0.500, 0.000], [0.500, 0.000, 0.000], [0.500, 0.500, 0.000]],
  "raw_formation_energy_ev_per_atom": -0.762,
  "sg": "C2/m (12)"
}


Record 3
{
  "formula": "CsNpPbF6",
  "functional": "PBE",
  "state": "relaxed",
  "lattice_angstrom": [[5.915, 0.000, 0.000], [0.065, 6.546, 0.000], [0.033, 3.273, 5.780]],
  "species": ["Cs", "Np", "Pb", "F", "F", "F", "F", "F", "F"],
  "frac_coords": [[0.000, 0.000, 0.000], [0.501, 0.666, 0.668], [0.500, 0.335, 0.330], [0.294, 0.393, 0.977], [0.294, 0.632, 0.393], [0.297, 0.985, 0.630], [0.706, 0.387, 0.627], [0.707, 0.976, 0.393], [0.708, 0.627, 0.978]],
  "raw_formation_energy_ev_per_atom": -2.914,
  "sg": "P1 (1)"
}


Record 4
{
  "formula": "GdPaCrTc",
  "functional": "PBE",
  "state": "relaxed",
  "lattice_angstrom": [[0.000, 3.446, 3.446], [3.446, 0.000, 3.446], [3.446, 3.446, 0.000]],
  "species": ["Gd", "Pa", "Cr", "Tc"],
  "frac_coords": [[0.000, 0.000, 0.000], [0.500, 0.500, 0.500], [0.750, 0.750, 0.750], [0.250, 0.250, 0.250]],
  "delta_e_f_ev_per_fu": 0.7,
  "sg": "F-43m (216)"
}


Record 5
{
  "formula": "LiDyCu2",
  "functional": "PBE",
  "state": "relaxed",
  "lattice_angstrom": [[2.137, 1.234, 4.497], [-2.137, 1.234, 4.497], [0.000, -2.467, 4.497]],
  "species": ["Li", "Dy", "Cu", "Cu"],
  "frac_coords": [[0.000, 0.000, 0.000], [0.500, 0.500, 0.500], [0.291, 0.291, 0.291], [0.709, 0.709, 0.709]],
  "delta_e_f_ev_per_fu": -0.5,
  "sg": "R-3m (166)"
}


Record 6
{
  "formula": "CdIn2Ag4",
  "functional": "PBE",
  "state": "relaxed",
  "lattice_angstrom": [[-2.597, 2.597, 7.034], [2.597, -2.597, 7.034], [2.597, 2.597, -7.034]],
  "species": ["Cd", "In", "In", "Ag", "Ag", "Ag", "Ag"],
  "frac_coords": [[0.000, 0.000, 0.000], [0.386, 0.386, 0.000], [0.614, 0.614, 0.000], [0.000, 0.500, 0.500], [0.194, 0.194, 0.000], [0.500, 0.000, 0.500], [0.806, 0.806, 0.000]],
  "delta_e_f_ev_per_fu": 2.7,
  "sg": "I4/mmm (139)"
}


Number 1: DFT total energy -6.12 eV per atom. Number 2: DFT total energy -4.63 eV per atom. Number 3: DFT total energy -6.11 eV per atom. Number 4: DFT total energy -10.72 eV per atom. Number 5: DFT total energy -3.80 eV per atom. Number 6: DFT total energy -2.16 eV per atom.